[1]
# Rb2BiPb (PBE-GGA, optimized geometry)
# E: -9.49 eV/f.u.
data_Rb2BiPb
_chemical_formula_sum 'Rb8 Bi4 Pb4'
_cell_length_a 8.7569
_cell_length_b 8.7569
_cell_length_c 8.7569
_cell_angle_alpha 90.00
_cell_angle_beta 90.00
_cell_angle_gamma 90.00
_symmetry_space_group_name_H-M 'F m -3 m'
_symmetry_Int_Tables_number 225
_symmetry_space_group_name_Hall '-F 4 2 3'
loop_
_atom_site_label
_atom_site_type_symbol
_atom_site_fract_x
_atom_site_fract_y
_atom_site_fract_z
Rb1 Rb 0.2500 0.2500 0.2500
Bi1 Bi 0.0000 0.0000 0.0000
Pb1 Pb 0.0000 0.0000 0.5000

=====

[2]
# RbBi3Pb (PBE-GGA, optimized geometry)
# E: -14.56 eV/f.u.
data_RbBi3Pb
_chemical_formula_sum 'Rb1 Bi3 Pb1'
_cell_length_a 6.0869
_cell_length_b 6.0869
_cell_length_c 6.0869
_cell_angle_alpha 90.00
_cell_angle_beta 90.00
_cell_angle_gamma 90.00
_symmetry_space_group_name_H-M 'P m -3 m'
_symmetry_Int_Tables_number 221
_symmetry_space_group_name_Hall '-P 4 2 3'
loop_
_atom_site_label
_atom_site_type_symbol
_atom_site_fract_x
_atom_site_fract_y
_atom_site_fract_z
Rb1 Rb 0.0000 0.0000 0.0000
Bi1 Bi 0.0000 0.5000 0.5000
Pb1 Pb 0.5000 0.5000 0.5000

=====

[3]
# RbBi2Pb (PBE-GGA, optimized geometry)
# E: -12.50 eV/f.u.
data_RbBi2Pb
_chemical_formula_sum 'Rb4 Bi8 Pb4'
_cell_length_a 9.4903
_cell_length_b 9.4903
_cell_length_c 7.0187
_cell_angle_alpha 90.00
_cell_angle_beta 90.00
_cell_angle_gamma 90.00
_symmetry_space_group_name_H-M 'I -4 2 d'
_symmetry_Int_Tables_number 122
_symmetry_space_group_name_Hall 'I -4 2bw'
loop_
_atom_site_label
_atom_site_type_symbol
_atom_site_fract_x
_atom_site_fract_y
_atom_site_fract_z
Rb1 Rb 0.0000 0.0000 0.0000
Bi1 Bi 0.2030 0.7500 0.6250
Pb1 Pb 0.0000 0.0000 0.5000

=====

[4]
# Rb2BiPb2 (PBE-GGA, optimized geometry)
# E: -14.14 eV/f.u.
data_Rb2BiPb2
_chemical_formula_sum 'Rb8 Bi4 Pb8'
_cell_length_a 13.0494
_cell_length_b 5.9240
_cell_length_c 12.7417
_cell_angle_alpha 90.00
_cell_angle_beta 118.91
_cell_angle_gamma 90.00
_symmetry_space_group_name_H-M 'C 1 2/m 1'
_symmetry_Int_Tables_number 12
_symmetry_space_group_name_Hall '-C 2y'
loop_
_atom_site_label
_atom_site_type_symbol
_atom_site_fract_x
_atom_site_fract_y
_atom_site_fract_z
Rb1 Rb 0.0055 0.0000 0.1804
Rb2 Rb 0.1861 0.0000 0.6158
Bi1 Bi 0.2091 0.5000 0.8418
Pb1 Pb 0.0336 0.5000 0.4026
Pb2 Pb 0.1487 0.5000 0.0543

=====

[5]
# Rb2BiPb (PBE-GGA, optimized geometry)
# E: -9.52 eV/f.u.
data_Rb2BiPb
_chemical_formula_sum 'Rb8 Bi4 Pb4'
_cell_length_a 13.4847
_cell_length_b 13.4847
_cell_length_c 6.0568
_cell_angle_alpha 90.00
_cell_angle_beta 90.00
_cell_angle_gamma 90.00
_symmetry_space_group_name_H-M 'I -4 2 d'
_symmetry_Int_Tables_number 122
_symmetry_space_group_name_Hall 'I -4 2bw'
loop_
_atom_site_label
_atom_site_type_symbol
_atom_site_fract_x
_atom_site_fract_y
_atom_site_fract_z
Rb1 Rb 0.0879 0.2500 0.1250
Bi1 Bi 0.0000 0.0000 0.0000
Pb1 Pb 0.0000 0.0000 0.5000

=====

[6]
# Rb2Bi4Pb5 (PBE-GGA, optimized geometry)
# E: -36.72 eV/f.u.
data_Rb2Bi4Pb5
_chemical_formula_sum 'Rb8 Bi16 Pb20'
_cell_length_a 7.1677
_cell_length_b 11.8396
_cell_length_c 20.5815
_cell_angle_alpha 90.00
_cell_angle_beta 90.00
_cell_angle_gamma 90.00
_symmetry_space_group_name_H-M 'F m m m'
_symmetry_Int_Tables_number 69
_symmetry_space_group_name_Hall '-F 2 2'
loop_
_atom_site_label
_atom_site_type_symbol
_atom_site_fract_x
_atom_site_fract_y
_atom_site_fract_z
Rb1 Rb 0.0000 0.0000 0.1224
Bi1 Bi 0.0000 0.1355 0.3620
Pb1 Pb 0.0000 0.0000 0.5000
Pb2 Pb 0.2500 0.2500 0.0000
Pb3 Pb 0.2500 0.2500 0.2500

=====

[7]
# RbBi2Pb (PBE-GGA, optimized geometry)
# E: -12.62 eV/f.u.
data_RbBi2Pb
_chemical_formula_sum 'Rb1 Bi2 Pb1'
_cell_length_a 5.1577
_cell_length_b 5.1577
_cell_length_c 5.1589
_cell_angle_alpha 90.00
_cell_angle_beta 90.00
_cell_angle_gamma 90.00
_symmetry_space_group_name_H-M 'P 4/m m m'
_symmetry_Int_Tables_number 123
_symmetry_space_group_name_Hall '-P 4 2'
loop_
_atom_site_label
_atom_site_type_symbol
_atom_site_fract_x
_atom_site_fract_y
_atom_site_fract_z
Rb1 Rb 0.0000 0.0000 0.0000
Bi1 Bi 0.0000 0.5000 0.5000
Pb1 Pb 0.5000 0.5000 0.0000

=====

[8]
# RbBi3Pb3 (PBE-GGA, optimized geometry)
# E: -24.12 eV/f.u.
data_RbBi3Pb3
_chemical_formula_sum 'Rb6 Bi18 Pb18'
_cell_length_a 9.2788
_cell_length_b 9.2788
_cell_length_c 25.1163
_cell_angle_alpha 90.00
_cell_angle_beta 90.00
_cell_angle_gamma 120.00
_symmetry_space_group_name_H-M 'R -3'
_symmetry_Int_Tables_number 148
_symmetry_space_group_name_Hall '-R 3'
loop_
_atom_site_label
_atom_site_type_symbol
_atom_site_fract_x
_atom_site_fract_y
_atom_site_fract_z
Rb1 Rb 0.0000 0.0000 0.1671
Bi1 Bi 0.0010 0.6728 0.5869
Pb1 Pb 0.0000 0.3364 0.6218

=====

[9]
# RbBi3Pb (PBE-GGA, optimized geometry)
# E: -16.70 eV/f.u.
data_RbBi3Pb
_chemical_formula_sum 'Rb2 Bi6 Pb2'
_cell_length_a 7.1296
_cell_length_b 7.5635
_cell_length_c 7.4171
_cell_angle_alpha 90.00
_cell_angle_beta 90.00
_cell_angle_gamma 90.00
_symmetry_space_group_name_H-M 'P m n 21'
_symmetry_Int_Tables_number 31
_symmetry_space_group_name_Hall 'P 2ac -2'
loop_
_atom_site_label
_atom_site_type_symbol
_atom_site_fract_x
_atom_site_fract_y
_atom_site_fract_z
Rb1 Rb 0.0000 0.2440 0.0000
Bi1 Bi 0.0000 0.6130 0.6896
Bi2 Bi 0.2272 0.2268 0.4891
Pb1 Pb 0.0000 0.8828 0.3568

=====

[10]
# Rb4Bi4Pb (PBE-GGA, optimized geometry)
# E: -23.73 eV/f.u.
data_Rb4Bi4Pb
_chemical_formula_sum 'Rb8 Bi8 Pb2'
_cell_length_a 7.3803
_cell_length_b 7.3803
_cell_length_c 17.8839
_cell_angle_alpha 90.00
_cell_angle_beta 90.00
_cell_angle_gamma 90.00
_symmetry_space_group_name_H-M 'I -4 2 m'
_symmetry_Int_Tables_number 121
_symmetry_space_group_name_Hall 'I -4 2'
loop_
_atom_site_label
_atom_site_type_symbol
_atom_site_fract_x
_atom_site_fract_y
_atom_site_fract_z
Rb1 Rb 0.1835 0.1835 0.3711
Bi1 Bi 0.1421 0.1421 0.1653
Pb1 Pb 0.0000 0.0000 0.0000

=====

[11]
# RbBi2Pb2 (PBE-GGA, optimized geometry)
# E: -16.58 eV/f.u.
data_RbBi2Pb2
_chemical_formula_sum 'Rb2 Bi4 Pb4'
_cell_length_a 9.4724
_cell_length_b 9.4724
_cell_length_c 4.1293
_cell_angle_alpha 90.00
_cell_angle_beta 90.00
_cell_angle_gamma 90.00
_symmetry_space_group_name_H-M 'P 4/m b m'
_symmetry_Int_Tables_number 127
_symmetry_space_group_name_Hall '-P 4 2ab'
loop_
_atom_site_label
_atom_site_type_symbol
_atom_site_fract_x
_atom_site_fract_y
_atom_site_fract_z
Rb1 Rb 0.0000 0.0000 0.0000
Bi1 Bi 0.1289 0.3711 0.0000
Pb1 Pb 0.1476 0.6476 0.5000

=====

[12]
# RbBiPb3 (PBE-GGA, optimized geometry)
# E: -16.34 eV/f.u.
data_RbBiPb3
_chemical_formula_sum 'Rb1 Bi1 Pb3'
_cell_length_a 5.1874
_cell_length_b 5.1874
_cell_length_c 7.2434
_cell_angle_alpha 90.00
_cell_angle_beta 90.00
_cell_angle_gamma 90.00
_symmetry_space_group_name_H-M 'P 4 m m'
_symmetry_Int_Tables_number 99
_symmetry_space_group_name_Hall 'P 4 -2'
loop_
_atom_site_label
_atom_site_type_symbol
_atom_site_fract_x
_atom_site_fract_y
_atom_site_fract_z
Rb1 Rb 0.0000 0.0000 0.0000
Bi1 Bi 0.5000 0.5000 0.2047
Pb1 Pb 0.0000 0.5000 0.4967
Pb2 Pb 0.5000 0.5000 0.7795